[1]
This record from Alexandria via LeMat-Bulk describes a geometry-optimized Zr2Ti2Be structure. The functional is GGA-PBE.

POSCAR file:
```
Zr2Ti2Be
1.0
6.693 0.000 0.000
0.000 6.693 0.000
0.000 0.000 4.115
Zr Ti Be
4 4 2
Cartesian
1.102 2.245 0.000 Zr
2.245 5.591 0.000 Zr
4.448 1.102 0.000 Zr
5.591 4.448 0.000 Zr
0.948 4.294 2.058 Ti
2.399 0.948 2.058 Ti
4.294 5.745 2.058 Ti
5.745 2.399 2.058 Ti
0.000 0.000 2.058 Be
3.346 3.346 2.058 Be
```

## Properties
density of states at the Fermi level	5.59	states/eV per cell
E	-0.5265	Ry per atom


[2]
This record from Alexandria via LeMat-Bulk describes a geometry-optimized KSn structure. The functional is GGA-PBE.

POSCAR file:
```
KSn
1.0
10.158 0.000 0.000
0.000 10.158 0.000
0.000 0.000 10.158
K Sn
6 6
Cartesian
0.000 2.539 5.079 K
0.000 7.618 5.079 K
2.539 5.079 0.000 K
5.079 0.000 2.539 K
5.079 0.000 7.618 K
7.618 5.079 0.000 K
0.000 5.079 2.539 Sn
0.000 5.079 7.618 Sn
2.539 0.000 5.079 Sn
5.079 2.539 0.000 Sn
5.079 7.618 0.000 Sn
7.618 0.000 5.079 Sn
```

## Properties
density of states at the Fermi level	7.54	states/eV per cell
E	-0.1326	Ry per atom


[3]
This record from Alexandria via LeMat-Bulk describes a geometry-optimized Ce2ThAg6 structure. The functional is GGA-PBE.

POSCAR file:
```
Ce2ThAg6
1.0
8.536 0.000 0.000
-4.268 7.392 0.000
0.000 0.000 3.265
Ce Th Ag
2 1 6
Cartesian
0.000 4.928 0.000 Ce
4.268 2.464 0.000 Ce
0.000 0.000 0.000 Th
-1.425 2.469 1.632 Ag
-2.842 4.923 1.632 Ag
2.851 0.000 1.632 Ag
1.425 2.469 1.632 Ag
5.685 0.000 1.632 Ag
2.842 4.923 1.632 Ag
```

## Properties
density of states at the Fermi level	16.06	states/eV per cell
E	-0.3084	Ry per atom


[4]
This record from Alexandria via LeMat-Bulk describes a geometry-optimized NbBi3Os structure. The functional is GGA-PBE.

POSCAR file:
```
NbBi3Os
1.0
5.414 0.000 0.000
0.000 5.414 0.000
0.000 0.000 5.414
Nb Bi Os
1 3 1
Cartesian
0.000 0.000 0.000 Nb
0.000 0.000 2.707 Bi
0.000 2.707 0.000 Bi
2.707 0.000 0.000 Bi
2.707 2.707 2.707 Os
```

## Properties
polymorph energy (0 for the lowest one)	0.2676	eV/atom
density of states at the Fermi level	2.49	states/eV per cell
E	-0.3705	Ry per atom


[5]
This record from Alexandria via LeMat-Bulk describes a geometry-optimized NaSiRu3 structure. The functional is GGA-PBE.

POSCAR file:
```
NaSiRu3
1.0
4.477 0.000 0.000
0.000 4.477 0.000
0.000 0.000 4.477
Na Si Ru
1 1 3
Cartesian
0.000 0.000 0.000 Na
2.238 2.238 2.238 Si
0.000 2.238 2.238 Ru
2.238 0.000 2.238 Ru
2.238 2.238 0.000 Ru
```

## Properties
raw formation energy	0.744	eV/atom
polymorph energy (0 for the lowest one)	0.0000	eV/atom
density of states at the Fermi level	4.18	states/eV per cell
E	-0.4535	Ry per atom


[6]
This record from Alexandria via LeMat-Bulk describes a geometry-optimized SrTaGeOs2 structure. The functional is GGA-PBE.

POSCAR file:
```
SrTaGeOs2
1.0
4.852 0.000 0.000
0.000 4.852 0.000
0.000 0.000 4.998
Sr Ta Ge Os
1 1 1 2
Cartesian
0.000 0.000 0.000 Sr
0.000 0.000 2.499 Ta
2.426 2.426 2.499 Ge
0.000 2.426 0.000 Os
2.426 0.000 0.000 Os
```

## Properties
density of states at the Fermi level	7.04	states/eV per cell
E	-0.3533	Ry per atom


[7]
This record from Alexandria via LeMat-Bulk describes a geometry-optimized Mg2VFe2 structure. The functional is GGA-PBE.

POSCAR file:
```
Mg2VFe2
1.0
5.893 0.000 0.000
0.000 5.893 0.000
0.000 0.000 4.410
Mg V Fe
4 2 4
Cartesian
1.028 1.918 0.000 Mg
1.918 4.865 0.000 Mg
3.975 1.028 0.000 Mg
4.865 3.975 0.000 Mg
0.000 0.000 2.205 V
2.947 2.947 2.205 V
0.779 3.725 2.205 Fe
2.168 0.779 2.205 Fe
3.725 5.115 2.205 Fe
5.115 2.168 2.205 Fe
```

## Properties
density of states at the Fermi level	9.61	states/eV per cell
E	-0.4115	Ry per atom


[8]
This record from Alexandria via LeMat-Bulk describes a geometry-optimized SnAs2SeCl structure. The functional is GGA-PBE.

POSCAR file:
```
SnAs2SeCl
1.0
5.380 0.000 0.000
0.000 5.380 0.000
0.000 0.000 5.208
Sn As Se Cl
1 2 1 1
Cartesian
0.000 0.000 0.000 Sn
0.000 2.690 0.000 As
2.690 0.000 0.000 As
0.000 0.000 2.604 Se
2.690 2.690 2.604 Cl
```

## Properties
raw formation energy	0.750	eV/atom
polymorph energy (0 for the lowest one)	0.0000	eV/atom
density of states at the Fermi level	4.85	states/eV per cell
E	-0.2188	Ry per atom


[9]
This record from Alexandria via LeMat-Bulk describes a geometry-optimized ZnSnSb2 structure. The functional is GGA-PBE.

POSCAR file:
```
ZnSnSb2
1.0
1.653 0.954 10.998
-1.653 0.954 10.998
0.000 -1.909 10.998
Zn Sn Sb
1 1 2
Cartesian
0.000 0.000 0.000 Zn
0.000 0.000 16.497 Sn
0.000 0.000 13.280 Sb
0.000 0.000 19.714 Sb
```

## Properties
raw formation energy	0.137	eV/atom
polymorph energy (0 for the lowest one)	0.2005	eV/atom
density of states at the Fermi level	1.33	states/eV per cell
E	-0.2384	Ry per atom


[10]
This record from Alexandria via LeMat-Bulk describes a geometry-optimized AgH2S4 structure. The functional is GGA-PBE.

POSCAR file:
```
AgH2S4
1.0
2.154 -8.270 0.000
2.154 8.270 0.000
-2.153 0.000 7.392
Ag H S
2 4 8
Cartesian
1.078 6.205 3.696 Ag
2.154 -6.205 0.000 Ag
2.139 4.717 0.867 H
1.051 0.585 2.827 H
-0.025 -0.585 6.523 H
1.062 -4.717 4.563 H
-0.205 0.388 3.400 S
-1.281 -0.388 7.096 S
0.794 2.752 5.338 S
1.959 3.754 3.991 S
1.871 -2.752 1.641 S
2.942 1.387 2.052 S
1.865 -1.387 5.748 S
3.036 -3.754 0.294 S
```

## Properties
density of states at the Fermi level	6.16	states/eV per cell
E	-0.2659	Ry per atom


[11]
This record from Alexandria via LeMat-Bulk describes a geometry-optimized HfMg14BO15 structure. The functional is GGA-PBE.

POSCAR file:
```
HfMg14BO15
1.0
4.276 0.000 0.000
0.000 8.969 0.000
0.000 0.000 8.508
Hf Mg B O
1 14 1 15
Cartesian
0.000 0.000 0.000 Hf
0.000 0.000 4.331 Mg
0.000 2.214 2.178 Mg
0.000 2.434 6.428 Mg
0.000 4.484 4.263 Mg
0.000 6.535 6.428 Mg
0.000 6.755 2.178 Mg
2.138 0.000 2.270 Mg
2.138 0.000 6.339 Mg
2.138 2.267 4.282 Mg
2.138 2.489 0.085 Mg
2.138 4.484 2.131 Mg
2.138 4.484 6.492 Mg
2.138 6.480 0.085 Mg
2.138 6.702 4.282 Mg
0.000 4.484 1.864 B
0.000 0.000 2.120 O
0.000 0.000 6.431 O
0.000 2.031 8.490 O
0.000 2.170 4.316 O
0.000 4.484 6.250 O
0.000 6.799 4.316 O
0.000 6.938 8.490 O
2.138 0.000 4.327 O
2.138 0.000 8.488 O
2.138 2.043 2.161 O
2.138 2.267 6.436 O
2.138 4.484 0.071 O
2.138 4.484 4.228 O
2.138 6.701 6.436 O
2.138 6.926 2.161 O
```

## Properties
raw formation energy	-2.382	eV/atom
polymorph energy (0 for the lowest one)	0.0000	eV/atom
density of states at the Fermi level	3.44	states/eV per cell
E	-0.4438	Ry per atom


[12]
This record from Alexandria via LeMat-Bulk describes a geometry-optimized SmHoAlCo structure. The functional is GGA-PBE.

POSCAR file:
```
SmHoAlCo
1.0
0.000 3.538 3.538
3.538 0.000 3.538
3.538 3.538 0.000
Sm Ho Al Co
1 1 1 1
Cartesian
0.000 0.000 0.000 Sm
3.538 3.538 3.538 Ho
1.769 1.769 1.769 Al
5.308 5.308 5.308 Co
```

## Properties
density of states at the Fermi level	2.87	states/eV per cell
E	-0.3822	Ry per atom


[13]
This record from Alexandria via LeMat-Bulk describes a geometry-optimized LiAg2Pd2Au structure. The functional is GGA-PBE.

POSCAR file:
```
LiAg2Pd2Au
1.0
5.339 0.000 0.000
0.000 5.540 0.000
-0.988 0.000 6.760
Li Ag Pd Au
2 4 4 2
Cartesian
1.042 1.385 0.982 Li
3.310 4.155 5.778 Li
-0.431 1.385 3.313 Ag
2.115 4.155 3.342 Ag
2.237 1.385 3.418 Ag
4.782 4.155 3.446 Ag
0.896 0.018 5.531 Pd
0.896 2.752 5.531 Pd
3.456 2.788 1.229 Pd
3.456 5.522 1.229 Pd
0.759 4.155 0.889 Au
3.592 1.385 5.871 Au
```

## Properties
density of states at the Fermi level	4.67	states/eV per cell
E	-0.2707	Ry per atom


[14]
This record from Alexandria via LeMat-Bulk describes a geometry-optimized KAgHgBr6 structure. The functional is GGA-PBE.

POSCAR file:
```
KAgHgBr6
1.0
6.466 0.000 0.000
2.443 7.335 0.000
1.467 1.327 7.478
K Ag Hg Br
1 1 1 6
Cartesian
0.000 0.000 0.000 K
7.423 4.371 3.351 Ag
3.634 1.390 3.107 Hg
2.303 3.976 0.781 Br
3.012 2.974 4.976 Br
5.580 5.854 6.601 Br
5.710 7.070 1.235 Br
7.521 6.524 4.803 Br
6.279 2.244 2.416 Br
```

## Properties
raw formation energy	-0.595	eV/atom
E	-0.1604	Ry per atom


[15]
This record from Alexandria via LeMat-Bulk describes a geometry-optimized La5InCo structure. The functional is GGA-PBE.

POSCAR file:
```
La5InCo
1.0
5.014 0.000 0.000
0.000 5.014 0.000
0.000 0.000 8.338
La In Co
5 1 1
Cartesian
0.000 0.000 0.000 La
0.000 2.507 2.556 La
0.000 2.507 5.782 La
2.507 0.000 2.556 La
2.507 0.000 5.782 La
2.507 2.507 0.000 In
0.000 0.000 4.169 Co
```

## Properties
density of states at the Fermi level	7.98	states/eV per cell
E	-0.3746	Ry per atom


[16]
This record from Alexandria via LeMat-Bulk describes a geometry-optimized La4GeTe2Cl2 structure. The functional is GGA-PBE.

POSCAR file:
```
La4GeTe2Cl2
1.0
8.493 -2.199 0.000
8.493 2.199 0.000
-3.732 0.000 7.383
La Ge Te Cl
4 1 2 2
Cartesian
-0.916 0.000 1.834 La
4.000 0.000 1.993 La
9.254 0.000 5.390 La
14.170 0.000 5.550 La
6.627 0.000 3.692 Ge
2.637 0.000 7.030 Te
10.617 0.000 0.353 Te
1.296 0.000 3.513 Cl
11.958 0.000 3.870 Cl
```

## Properties
raw formation energy	-1.554	eV/atom
density of states at the Fermi level	4.58	states/eV per cell
E	-0.3944	Ry per atom


[17]
This record from Alexandria via LeMat-Bulk describes a geometry-optimized ReOsF3 structure. The functional is GGA-PBE.

POSCAR file:
```
ReOsF3
1.0
4.284 0.000 0.000
0.000 4.284 0.000
0.000 0.000 4.284
Re Os F
1 1 3
Cartesian
0.000 0.000 0.000 Re
2.142 2.142 2.142 Os
0.000 2.142 2.142 F
2.142 0.000 2.142 F
2.142 2.142 0.000 F
```

## Properties
raw formation energy	0.636	eV/atom
polymorph energy (0 for the lowest one)	0.0000	eV/atom
density of states at the Fermi level	3.49	states/eV per cell
E	-0.3838	Ry per atom


[18]
This record from Alexandria via LeMat-Bulk describes a geometry-optimized MnRe2H structure. The functional is GGA-PBE.

POSCAR file:
```
MnRe2H
1.0
-3.276 3.276 2.159
3.276 -3.276 2.159
3.276 3.276 -2.159
Mn Re H
2 4 2
Cartesian
0.000 0.000 0.000 Mn
0.000 3.276 1.080 Mn
1.638 -0.945 1.620 Re
2.330 1.638 0.540 Re
1.638 4.221 -0.540 Re
0.945 1.638 2.699 Re
3.276 0.000 1.080 H
0.000 0.000 2.159 H
```

## Properties
polymorph energy (0 for the lowest one)	0.0000	eV/atom
density of states at the Fermi level	4.56	states/eV per cell
E	-0.6580	Ry per atom


[19]
This record from Alexandria via LeMat-Bulk describes a geometry-optimized Pu5N6 structure. The functional is GGA-PBE.

POSCAR file:
```
Pu5N6
1.0
3.016 -5.151 0.000
3.016 5.151 0.000
-1.906 0.000 5.669
Pu N
5 6
Cartesian
0.000 0.000 0.000 Pu
2.064 3.403 2.834 Pu
3.016 1.604 0.000 Pu
3.016 -1.604 0.000 Pu
2.064 -3.403 2.834 Pu
0.891 1.926 1.265 N
-0.251 0.000 4.225 N
0.891 -1.926 1.265 N
3.236 1.926 4.404 N
4.378 0.000 1.444 N
3.236 -1.926 4.404 N
```

## Properties
raw formation energy	-0.987	eV/atom
density of states at the Fermi level	32.66	states/eV per cell
E	-0.8851	Ry per atom